# YTm3Th

An optimized crystal structure of YTm3Th (PBE, Alexandria via LeMat-Bulk).

Cell lengths 7.404, 9.263, 9.263 Å; angles 88.83, 90.00, 90.00 degrees
Sites, in units of the cell vectors:
Y 0.250 0.774 0.226
Y 0.750 0.226 0.774
Y 0.250 0.274 0.726
Y 0.750 0.726 0.274
Tm 0.620 0.879 0.923
Tm 0.880 0.077 0.121
Tm 0.380 0.121 0.077
Tm 0.120 0.923 0.879
Tm 0.641 0.401 0.099
Tm 0.859 0.901 0.599
Tm 0.359 0.599 0.901
Tm 0.141 0.099 0.401
Tm 0.620 0.577 0.621
Tm 0.880 0.379 0.423
Tm 0.380 0.423 0.379
Tm 0.120 0.621 0.577
Th 0.911 0.608 0.892
Th 0.589 0.108 0.392
Th 0.089 0.392 0.108
Th 0.411 0.892 0.608

Density of states at the Fermi level = 1.1943 states/eV/atom
E above lowest polymorph = 0 meV/atom
VASP energy = -5.31 eV per atom
ΔE_f = 147.0 meV per atom